Entry from the Alexandria database: a relaxed structure of SrCdAgAu (PBE).

Lattice parameters (Å, degrees): 8.385 4.859 5.802 90.00 118.91 90.00
Space group Cm (No. 8)
Symmetry-distinct sites (fractional):
Sr (0.000, 0.000, 0.000) (multiplicity 2)
Cd (0.004, 0.500, 0.513) (multiplicity 2)
Ag (0.290, 0.500, 0.371) (multiplicity 2)
Au (0.211, 0.000, 0.634) (multiplicity 2)

Size of the total moment: 0.00 μB per cell
DFT formation energy: -0.41 eV per atom